1.
# Os5Se3

Os5Se3 after structural relaxation (PBE, Alexandria via LeMat-Bulk).

## Properties
Electronic total energy: -7.059 eV/atom
Polymorph energy (0 for the lowest one): 0.7763 eV per atom
Space-group type: P6_3/mcm

Lattice parameters (Å, degrees): 7.335 7.335 5.533 90.00 90.00 120.00
Element x y z (fractional)
Se 0.593 0.000 0.250
Os 0.799 0.000 0.750
Os 0.333 0.667 0.500
Os 0.201 0.201 0.750
Os 0.667 0.333 0.000
Se 0.000 0.593 0.250
Se 0.407 0.000 0.750
Os 0.000 0.799 0.750
Se 0.000 0.407 0.750
Os 0.799 0.799 0.250
Os 0.000 0.201 0.250
Os 0.667 0.333 0.500
Se 0.407 0.407 0.250
Se 0.593 0.593 0.750
Os 0.333 0.667 0.000
Os 0.201 0.000 0.250


2.
# Er7Ga2Cu2

Er7Ga2Cu2 after structural relaxation (PBE, Alexandria via LeMat-Bulk).

## Properties
Calculated formation energy: -0.103 eV per atom
Electronic total energy: -4.302 eV/atom
Space-group type: Cmmm

Lattice parameters (Å, degrees): 6.642 6.880 6.642 90.00 109.84 90.00
Element x y z (fractional)
Cu 0.296 0.000 0.704
Er 0.000 0.736 0.500
Cu 0.704 0.000 0.296
Ga 0.167 0.500 0.167
Er 0.500 0.747 0.500
Er 0.500 0.736 0.000
Er 0.000 0.000 0.000
Ga 0.833 0.500 0.833
Er 0.500 0.264 0.000
Er 0.500 0.253 0.500
Er 0.000 0.264 0.500


3.
# Ac4TlPI2

Ac4TlPI2 after structural relaxation (PBE, Alexandria via LeMat-Bulk).

## Properties
Electronic total energy: -4.376 eV/atom
Space-group type: P2/m

Lattice parameters (Å, degrees): 4.488 8.179 8.649 107.24 90.00 90.00
Element x y z (fractional)
Ac 0.000 0.284 0.800
P 0.500 0.500 0.000
I 0.500 0.000 0.500
Ac 0.000 0.716 0.200
Tl 0.000 0.000 0.000
Ac 0.500 0.263 0.213
Ac 0.500 0.737 0.787
I 0.000 0.500 0.500


4.
# SnAuOF2

SnAuOF2 after structural relaxation (PBE, Alexandria via LeMat-Bulk).

## Properties
Electronic total energy: -4.274 eV/atom
Polymorph energy (0 for the lowest one): 0.0000 eV per atom
Space-group type: P4/mmm

Lattice parameters (Å, degrees): 4.377 4.377 4.072 90.00 90.00 90.00
Element x y z (fractional)
F 0.500 0.000 0.000
Sn 0.000 0.000 0.000
O 0.000 0.000 0.500
F 0.000 0.500 0.000
Au 0.500 0.500 0.500


5.
# PuNp6O12

PuNp6O12 after structural relaxation (PBE, Alexandria via LeMat-Bulk).

## Properties
Electronic total energy: -10.970 eV/atom
Space-group type: R-3

Lattice parameters (Å, degrees): 6.660 6.660 6.660 99.75 99.75 99.75
Site moments in Bohr magnetons follow the coordinates.
Element x y z (fractional)
Np 0.597 0.138 0.295  3.51
Np 0.138 0.295 0.597  3.51
O 0.920 0.059 0.325  -0.10
Np 0.295 0.597 0.138  3.51
O 0.325 0.920 0.059  -0.10
O 0.413 0.560 0.822  -0.10
O 0.822 0.413 0.560  -0.10
O 0.587 0.440 0.178  -0.10
O 0.080 0.941 0.675  -0.10
O 0.941 0.675 0.080  -0.10
Np 0.403 0.862 0.705  3.51
Np 0.705 0.403 0.862  3.51
Pu 0.000 0.000 0.000  4.85
O 0.675 0.080 0.941  -0.10
Np 0.862 0.705 0.403  3.51
O 0.059 0.325 0.920  -0.10
O 0.178 0.587 0.440  -0.10
O 0.440 0.178 0.587  -0.10
O 0.560 0.822 0.413  -0.10


6.
# Ce4Nd2Pb3N2

Ce4Nd2Pb3N2 after structural relaxation (PBE, Alexandria via LeMat-Bulk).

## Properties
Electronic total energy: -6.352 eV/atom
Space-group type: I4/mmm

Lattice parameters (Å, degrees): 4.761 4.761 13.766 99.96 99.96 90.00
Site moments in Bohr magnetons follow the coordinates.
Element x y z (fractional)
Nd 0.305 0.305 0.610  0.02
Ce 0.915 0.415 0.829  0.63
N 0.396 0.396 0.793  -0.04
Ce 0.085 0.585 0.171  0.63
Pb 0.821 0.821 0.643  -0.02
Ce 0.585 0.085 0.171  0.63
Nd 0.695 0.695 0.390  0.02
Pb 0.179 0.179 0.357  -0.02
Ce 0.415 0.915 0.829  0.63
N 0.604 0.604 0.207  -0.04
Pb 0.000 0.000 0.000  -0.04


7.
# TiPtPb

TiPtPb after structural relaxation (PBE, Alexandria via LeMat-Bulk).

## Properties
Calculated formation energy: -0.104 eV per atom
Electronic total energy: -5.985 eV/atom
Space-group type: F-43m

Lattice parameters (Å, degrees): 4.499 4.499 4.499 60.00 60.00 60.00
Element x y z (fractional)
Ti 0.750 0.750 0.750
Pb 0.000 0.000 0.000
Pt 0.500 0.500 0.500


8.
# KYIO2

KYIO2 after structural relaxation (PBE, Alexandria via LeMat-Bulk).

## Properties
Electronic total energy: -5.535 eV/atom
Polymorph energy (0 for the lowest one): 0.0000 eV per atom
Space-group type: P4/mmm

Lattice parameters (Å, degrees): 4.508 4.508 6.401 90.00 90.00 90.00
Element x y z (fractional)
Y 0.000 0.000 0.000
O 0.500 0.000 0.000
I 0.000 0.000 0.500
K 0.500 0.500 0.500
O 0.000 0.500 0.000


no.,density of states at the Fermi level (states/eV per cell)
1,22.0
2,10.2
3,5.4
4,1.5
5,40.8
6,20.2
7,2.3
8,6.7